This record from Alexandria describes ScMnIn after structural relaxation. The functional is PBE.

Cell lengths 4.6670, 4.6670, 3.2429 Å; angles 90.00, 90.00, 120.00 degrees
Fractional coordinates of all 3 atoms:
Sc (0.0000, 0.0000, 0.0000)
Mn (0.6667, 0.3333, 0.4991)
In (0.3333, 0.6667, 0.5009)

Summary:
- ΔE_f: -65.0 meV/atom
- Magnetic moment: 3.42 μB per formula unit

---

This record from Alexandria describes ScMn2In after structural relaxation. The functional is PBE.

Cell lengths 4.6799, 4.6799, 4.6799 Å; angles 60.00, 60.00, 60.00 degrees
Fractional coordinates of all 4 atoms:
Sc (0.0000, 0.0000, 0.0000)
Mn (0.5000, 0.5000, 0.5000)
Mn (0.7500, 0.7500, 0.7500)
In (0.2500, 0.2500, 0.2500)

Summary:
- ΔE_f: 141.1 meV/atom
- Magnetic moment: 6.84 μB per formula unit

---

This record from Alexandria describes ScMn2In after structural relaxation. The functional is PBE.

Cell lengths 4.9513, 4.9513, 4.9513 Å; angles 130.43, 130.43, 72.72 degrees
Fractional coordinates of all 4 atoms:
Sc (0.0000, 0.0000, 0.0000)
Mn (0.2500, 0.7500, 0.5000)
Mn (0.7500, 0.2500, 0.5000)
In (0.5000, 0.5000, 0.0000)

Summary:
- ΔE_f: 52.3 meV/atom
- Magnetic moment: 5.64 μB per formula unit